# Nd3Dy7Ho2, optimized geometry, DFT GGA-PBE
data_Nd3Dy7Ho2
_cell_length_a 5.840
_cell_length_b 3.570
_cell_length_c 18.815
_cell_angle_alpha 90.00
_cell_angle_beta 93.08
_cell_angle_gamma 90.00
_space_group_name_H-M_alt 'P 1 2/m 1'
_space_group_IT_number 10
loop_
_space_group_symop_operation_xyz
'x,y,z'
'-x,-y,-z'
'-x,y,-z'
'x,-y,z'
loop_
_atom_site_label
_atom_site_type_symbol
_atom_site_fract_x
_atom_site_fract_y
_atom_site_fract_z
Nd1 Nd 0.000 0.000 0.000
Nd2 Nd 0.277 0.500 0.634
Dy1 Dy 0.191 0.500 0.144
Dy2 Dy 0.243 0.000 0.463
Dy3 Dy 0.307 0.000 0.824
Dy4 Dy 0.500 0.500 0.000
Ho1 Ho 0.212 0.000 0.293
# - energy relative to the elements (eV per atom) = 0.09
# - ΔE to the lowest computed polymorph (eV per atom) = 0.0000



# RbTl2ZnF8, optimized geometry, DFT GGA-PBE
data_RbTl2ZnF8
_cell_length_a 5.193
_cell_length_b 5.346
_cell_length_c 7.454
_cell_angle_alpha 89.87
_cell_angle_beta 89.90
_cell_angle_gamma 87.38
_space_group_name_H-M_alt 'P -1'
_space_group_IT_number 2
loop_
_space_group_symop_operation_xyz
'x,y,z'
'-x,-y,-z'
loop_
_atom_site_label
_atom_site_type_symbol
_atom_site_fract_x
_atom_site_fract_y
_atom_site_fract_z
Rb1 Rb 0.000 0.000 0.000
Tl1 Tl 0.500 0.500 0.264
Zn1 Zn 0.000 0.000 0.500
F1 F 0.165 0.777 0.692
F2 F 0.166 0.778 0.308
F3 F 0.315 0.271 0.500
F4 F 0.409 0.284 0.000
# - formation energy (no corrections) (eV per atom) = -2.0503



Calculated density readings, ordered: 8.1; 5.7 Mg/m³